No. 1
# VNiAu2 | the Alexandria database | GGA-PBE | relaxed
data_VNiAu2
_chemical_formula_sum 'V1 Ni1 Au2'
_space_group_name_H-M_alt 'P 4/m m m'
_space_group_IT_number 123
_space_group_name_Hall '-P 4 2'
_cell_length_a 2.813
_cell_length_b 2.813
_cell_length_c 7.595
_cell_angle_alpha 90.00
_cell_angle_beta 90.00
_cell_angle_gamma 90.00
loop_
_atom_site_label
_atom_site_type_symbol
_atom_site_fract_x
_atom_site_fract_y
_atom_site_fract_z
_atom_site_occupancy
V1 V 0.000 0.000 0.000 1
Ni1 Ni 0.000 0.000 0.500 1
Au1 Au 0.500 0.500 0.257 1
# Fermi-level density of states = 0.83 states/eV/atom
# Electronic total energy = -0.3892 Ry per atom
# Volume = 60 Å³ per cell
# Energy relative to the lowest polymorph listed for this composition = 0 meV/atom
# Formation energy from the elements = 27 kJ/mol of formula units

***

No. 2
# TbMgTi | the Alexandria database | GGA-PBE | relaxed
data_TbMgTi
_chemical_formula_sum 'Tb2 Mg2 Ti2'
_space_group_name_H-M_alt 'P -6 m 2'
_space_group_IT_number 187
_space_group_name_Hall 'P -6 2'
_cell_length_a 3.2031
_cell_length_b 3.2031
_cell_length_c 16.0015
_cell_angle_alpha 90.00
_cell_angle_beta 90.00
_cell_angle_gamma 120.00
loop_
_atom_site_label
_atom_site_type_symbol
_atom_site_fract_x
_atom_site_fract_y
_atom_site_fract_z
_atom_site_occupancy
Tb1 Tb 0.0000 0.0000 0.1872 1
Mg1 Mg 0.0000 0.0000 0.5000 1
Mg2 Mg 0.6667 0.3333 0.0000 1
Ti1 Ti 0.6667 0.3333 0.3422 1
# Fermi-level density of states = 1.16 states/eV/atom
# Electronic total energy = -0.3298 Ry per atom
# Volume = 142 Å³ per cell
# Energy relative to the lowest polymorph listed for this composition = 90 meV/atom
# Formation energy from the elements = 64 kJ/mol of formula units

***

No. 3
# UAl2In | the Alexandria database | GGA-PBE | relaxed
data_UAl2In
_chemical_formula_sum 'U1 Al2 In1'
_space_group_name_H-M_alt 'P 4/m m m'
_space_group_IT_number 123
_space_group_name_Hall '-P 4 2'
_cell_length_a 4.469
_cell_length_b 4.469
_cell_length_c 4.244
_cell_angle_alpha 90.00
_cell_angle_beta 90.00
_cell_angle_gamma 90.00
loop_
_atom_site_label
_atom_site_type_symbol
_atom_site_fract_x
_atom_site_fract_y
_atom_site_fract_z
_atom_site_occupancy
U1 U 0.000 0.000 0.000 1
Al1 Al 0.000 0.500 0.500 1
In1 In 0.500 0.500 0.000 1
# Fermi-level density of states = 1.31 states/eV/atom
# Electronic total energy = -0.3978 Ry per atom
# Volume = 85 Å³ per cell
# Formation energy from the elements = -13 kJ/mol of formula units

***

No. 4
# HgIr2Ru | the Alexandria database | GGA-PBE | relaxed
data_HgIr2Ru
_chemical_formula_sum 'Hg2 Ir4 Ru2'
_space_group_name_H-M_alt 'I m m 2'
_space_group_IT_number 44
_space_group_name_Hall 'I 2 -2'
_cell_length_a 2.778
_cell_length_b 4.738
_cell_length_c 9.921
_cell_angle_alpha 90.00
_cell_angle_beta 90.00
_cell_angle_gamma 90.00
loop_
_atom_site_label
_atom_site_type_symbol
_atom_site_fract_x
_atom_site_fract_y
_atom_site_fract_z
_atom_site_occupancy
Hg1 Hg 0.000 0.000 0.000 1
Ir1 Ir 0.000 0.000 0.498 1
Ir2 Ir 0.000 0.500 0.228 1
Ru1 Ru 0.000 0.500 0.774 1
# Fermi-level density of states = 1.26 states/eV/atom
# Electronic total energy = -0.4628 Ry per atom
# Volume = 131 Å³ per cell
# Formation energy from the elements = 204 kJ/mol of formula units

***

No. 5
# GdMo6 | the Alexandria database | GGA-PBE | relaxed
data_GdMo6
_chemical_formula_sum 'Gd2 Mo12'
_space_group_name_H-M_alt 'I m -3 m'
_space_group_IT_number 229
_space_group_name_Hall '-I 4 2 3'
_cell_length_a 6.937
_cell_length_b 6.937
_cell_length_c 6.937
_cell_angle_alpha 90.00
_cell_angle_beta 90.00
_cell_angle_gamma 90.00
loop_
_atom_site_label
_atom_site_type_symbol
_atom_site_fract_x
_atom_site_fract_y
_atom_site_fract_z
_atom_site_occupancy
Gd1 Gd 0.000 0.000 0.000 1
Mo1 Mo 0.000 0.250 0.500 1
# Fermi-level density of states = 1.67 states/eV/atom
# Electronic total energy = -0.7217 Ry per atom
# Volume = 334 Å³ per cell
# Formation energy from the elements = 997 kJ/mol of formula units

***

No. 6
# CdRh | the Alexandria database | GGA-PBE | relaxed
data_CdRh
_chemical_formula_sum 'Cd6 Rh6'
_space_group_name_H-M_alt 'P 63/m m c'
_space_group_IT_number 194
_space_group_name_Hall '-P 6c 2c'
_cell_length_a 8.0133
_cell_length_b 8.0133
_cell_length_c 4.1748
_cell_angle_alpha 90.00
_cell_angle_beta 90.00
_cell_angle_gamma 120.00
loop_
_atom_site_label
_atom_site_type_symbol
_atom_site_fract_x
_atom_site_fract_y
_atom_site_fract_z
_atom_site_occupancy
Cd1 Cd 0.1698 0.3397 0.2500 1
Rh1 Rh 0.1158 0.5579 0.7500 1
# Fermi-level density of states = 0.82 states/eV/atom
# Electronic total energy = -0.3004 Ry per atom
# Volume = 232 Å³ per cell
# Formation energy from the elements = 9 kJ/mol of formula units

***

No. 7
# NbTe3 | the Alexandria database | GGA-PBE | relaxed
data_NbTe3
_chemical_formula_sum 'Nb2 Te6'
_space_group_name_H-M_alt 'I m m 2'
_space_group_IT_number 44
_space_group_name_Hall 'I 2 -2'
_cell_length_a 3.421
_cell_length_b 12.629
_cell_length_c 6.358
_cell_angle_alpha 90.00
_cell_angle_beta 90.00
_cell_angle_gamma 90.00
loop_
_atom_site_label
_atom_site_type_symbol
_atom_site_fract_x
_atom_site_fract_y
_atom_site_fract_z
_atom_site_occupancy
Nb1 Nb 0.000 0.000 0.000 1
Te1 Te 0.000 0.349 0.329 1
Te2 Te 0.000 0.500 0.847 1
# Fermi-level density of states = 0.65 states/eV/atom
# Electronic total energy = -0.3732 Ry per atom
# Volume = 275 Å³ per cell
# E_form (uncorrected) = -0.8 eV per formula unit

***

No. 8
# PPd2I8 | the Alexandria database | GGA-PBE | relaxed
data_PPd2I8
_chemical_formula_sum 'P2 Pd4 I16'
_space_group_name_H-M_alt 'C 1 2/m 1'
_space_group_IT_number 12
_space_group_name_Hall '-C 2y'
_cell_length_a 11.406
_cell_length_b 11.026
_cell_length_c 8.266
_cell_angle_alpha 90.00
_cell_angle_beta 100.24
_cell_angle_gamma 90.00
loop_
_atom_site_label
_atom_site_type_symbol
_atom_site_fract_x
_atom_site_fract_y
_atom_site_fract_z
_atom_site_occupancy
P1 P 0.000 0.000 0.000 1
Pd1 Pd 0.132 0.000 0.388 1
I1 I 0.108 0.000 0.714 1
I2 I 0.140 0.500 0.488 1
I3 I 0.151 0.178 0.159 1
# Fermi-level density of states = 0.84 states/eV/atom
# Electronic total energy = -0.1853 Ry per atom
# Volume = 1023 Å³ per cell
# E_form (uncorrected) = 0.5 eV per formula unit

***

No. 9
# ZrSc2Ni | the Alexandria database | GGA-PBE | relaxed
data_ZrSc2Ni
_chemical_formula_sum 'Zr3 Sc6 Ni3'
_space_group_name_H-M_alt 'R -3 m'
_space_group_IT_number 166
_space_group_name_Hall '-R 3 2"'
_cell_length_a 3.2260
_cell_length_b 3.2260
_cell_length_c 27.1333
_cell_angle_alpha 90.00
_cell_angle_beta 90.00
_cell_angle_gamma 120.00
loop_
_atom_site_label
_atom_site_type_symbol
_atom_site_fract_x
_atom_site_fract_y
_atom_site_fract_z
_atom_site_occupancy
Zr1 Zr 0.0000 0.0000 0.0000 1
Sc1 Sc 0.0000 0.0000 0.2355 1
Ni1 Ni 0.0000 0.0000 0.5000 1
# Fermi-level density of states = 1.11 states/eV/atom
# Electronic total energy = -0.5005 Ry per atom
# Volume = 245 Å³ per cell
# Energy relative to the lowest polymorph listed for this composition = 188 meV/atom
# Formation energy from the elements = -24 kJ/mol of formula units

***

No. 10
# BaBe2I2 | the Alexandria database | GGA-PBE | relaxed
data_BaBe2I2
_chemical_formula_sum 'Ba2 Be4 I4'
_space_group_name_H-M_alt 'P 4/m b m'
_space_group_IT_number 127
_space_group_name_Hall '-P 4 2ab'
_cell_length_a 8.906
_cell_length_b 8.906
_cell_length_c 5.093
_cell_angle_alpha 90.00
_cell_angle_beta 90.00
_cell_angle_gamma 90.00
loop_
_atom_site_label
_atom_site_type_symbol
_atom_site_fract_x
_atom_site_fract_y
_atom_site_fract_z
_atom_site_occupancy
Ba1 Ba 0.000 0.000 0.000 1
Be1 Be 0.085 0.415 0.500 1
I1 I 0.162 0.662 0.000 1
# Fermi-level density of states = 0.00 states/eV/atom
# Electronic total energy = -0.1583 Ry per atom
# Volume = 404 Å³ per cell
# Energy relative to the lowest polymorph listed for this composition = 307 meV/atom
# E_form (uncorrected) = 1.7 eV per formula unit

***

No. 11
# Sr2TlO2 | the Alexandria database | GGA-PBE | relaxed
data_Sr2TlO2
_chemical_formula_sum 'Sr4 Tl2 O4'
_space_group_name_H-M_alt 'I 4/m m m'
_space_group_IT_number 139
_space_group_name_Hall '-I 4 2'
_cell_length_a 4.555
_cell_length_b 4.555
_cell_length_c 12.464
_cell_angle_alpha 90.00
_cell_angle_beta 90.00
_cell_angle_gamma 90.00
loop_
_atom_site_label
_atom_site_type_symbol
_atom_site_fract_x
_atom_site_fract_y
_atom_site_fract_z
_atom_site_occupancy
Sr1 Sr 0.000 0.000 0.183 1
Tl1 Tl 0.000 0.000 0.500 1
O1 O 0.000 0.500 0.250 1
# Fermi-level density of states = 0.52 states/eV/atom
# Electronic total energy = -0.3604 Ry per atom
# Volume = 259 Å³ per cell
# E_form (uncorrected) = -8.9 eV per formula unit

***

No. 12
# LiRhW2 | the Alexandria database | GGA-PBE | relaxed
data_LiRhW2
_chemical_formula_sum 'Li4 Rh4 W8'
_space_group_name_H-M_alt 'F -4 3 m'
_space_group_IT_number 216
_space_group_name_Hall 'F -4 2 3'
_cell_length_a 6.177
_cell_length_b 6.177
_cell_length_c 6.177
_cell_angle_alpha 90.00
_cell_angle_beta 90.00
_cell_angle_gamma 90.00
loop_
_atom_site_label
_atom_site_type_symbol
_atom_site_fract_x
_atom_site_fract_y
_atom_site_fract_z
_atom_site_occupancy
Li1 Li 0.000 0.000 0.000 1
Rh1 Rh 0.250 0.250 0.750 1
W1 W 0.000 0.000 0.500 1
W2 W 0.250 0.250 0.250 1
# Fermi-level density of states = 1.20 states/eV/atom
# Electronic total energy = -0.6271 Ry per atom
# Volume = 236 Å³ per cell
# Energy relative to the lowest polymorph listed for this composition = 136 meV/atom
# Formation energy from the elements = 101 kJ/mol of formula units